1.
This record from Alexandria via LeMat-Bulk describes crystalline LaTaBe4 at its relaxed geometry. The functional is PBE-GGA.

Output
M_tot   0.0 Bohr magnetons per cell
E_tot   -30.2 eV/cell
Calculated formation energy   0.252 eV/atom

Cell lengths 4.8905, 4.8905, 4.8905 Å; angles 60.00, 60.00, 60.00 degrees
Element x y z (fractional)
1 La 0.0000 0.0000 0.0000
2 Ta 0.7500 0.7500 0.7500
3 Be 0.3802 0.3802 0.3802
4 Be 0.3802 0.3802 0.8593
5 Be 0.3802 0.8593 0.3802
6 Be 0.8593 0.3802 0.3802


2.
This record from Alexandria via LeMat-Bulk describes crystalline LaTa2Be at its relaxed geometry. The functional is PBE-GGA.

Output
M_tot   0.0 Bohr magnetons per cell
E_tot   -30.2 eV/cell
Calculated formation energy   0.543 eV/atom

Cell lengths 4.7894, 4.7894, 4.7894 Å; angles 119.40, 119.40, 91.04 degrees
Element x y z (fractional)
1 La 0.0000 0.0000 0.0000
2 Ta 0.2500 0.7500 0.5000
3 Ta 0.5000 0.5000 0.0000
4 Be 0.7500 0.2500 0.5000


3.
This record from Alexandria via LeMat-Bulk describes crystalline LaTaBe at its relaxed geometry. The functional is PBE-GGA.

Output
M_tot   0.0 Bohr magnetons per cell
Offset from the most stable computed form   417.7 meV per atom
E_tot   -18.2 eV/cell
Calculated formation energy   0.782 eV/atom

Cell lengths 4.5176, 4.5176, 4.5176 Å; angles 60.00, 60.00, 60.00 degrees
Element x y z (fractional)
1 La 0.0000 0.0000 0.0000
2 Ta 0.5000 0.5000 0.5000
3 Be 0.2500 0.2500 0.2500


| no. | N(E_F) (states/eV/atom) |
| --- | --- |
| 1 | 0.903 |
| 2 | 1.289 |
| 3 | 1.471 |